ScCr2AsO6: relaxed, GGA+U.

Values from the calculation:
DOS at the Fermi energy ... 0.00 states/eV/f.u.
Magnetic moment ... 0.600 μB per atom
Uncorrected energy ... -7.61 eV per atom

a b c (Å): 5.5473 5.5473 5.5473
angles (deg): 57.14 57.14 57.14
Last column: nearest neighbours and their distance in Å.
Sites, in units of the cell vectors:
1 Sc 0.0000 0.0000 0.0000  6 O 2.14-2.16
2 Cr 0.2898 0.2898 0.2898  6 O 1.98-2.10
3 Cr 0.7954 0.7954 0.7954  6 O 2.02-2.05
4 As 0.4924 0.4924 0.4924  6 O 2.08-2.24
5 O 0.0898 0.6706 0.4153  2 Cr 2.05-2.10, 1 As 2.08, 1 Sc 2.14
6 O 0.1568 0.5822 0.9314  2 Cr 1.98-2.02, 1 Sc 2.16
7 O 0.4153 0.0898 0.6706  2 Cr 2.05-2.10, 1 As 2.08, 1 Sc 2.14
8 O 0.5822 0.9314 0.1568  2 Cr 1.98-2.02, 1 Sc 2.16
9 O 0.6706 0.4153 0.0898  2 Cr 2.05-2.10, 1 As 2.08, 1 Sc 2.14
10 O 0.9314 0.1568 0.5822  2 Cr 1.98-2.02, 1 Sc 2.16